First-principles (PBE) data for a relaxed GdPuTe crystal, as listed in Alexandria.

Cell lengths 5.1228, 5.1228, 3.4997 Å; angles 90.00, 90.00, 120.00 degrees
With the nearest neighbours (Å) after each atom.
Atoms (fractional coordinates):
Gd (0.0000, 0.0000, 0.0000)  3 Pu 2.96
Pu (0.3333, 0.6667, 0.0017)  3 Gd 2.96
Te (0.6667, 0.3333, 0.5012)  6 Gd 3.43-3.44, 6 Pu 3.44, 2 Te 3.50

Computed properties:
Its crystal system is trigonal. The formation energy (no corrections) is -0.141 eV per atom.

---

First-principles (PBE) data for a relaxed SrCoSb2 crystal, as listed in Alexandria.

Cell lengths 5.1888, 5.1888, 5.1888 Å; angles 60.00, 60.00, 60.00 degrees
With the nearest neighbours (Å) after each atom.
Atoms (fractional coordinates):
Sr (0.0000, 0.0000, 0.0000)  8 Sb 3.18
Co (0.5000, 0.5000, 0.5000)  8 Sb 3.18
Sb (0.2500, 0.2500, 0.2500)  4 Co 3.18, 4 Sr 3.18
Sb (0.7500, 0.7500, 0.7500)  4 Co 3.18, 4 Sr 3.18

Computed properties:
Its crystal system is cubic. The formation energy (no corrections) is 0.088 eV per atom.

---

First-principles (PBE) data for a relaxed TaCdAu2 crystal, as listed in Alexandria.

Cell lengths 2.9680, 2.9680, 8.4288 Å; angles 90.00, 90.00, 90.00 degrees
With the nearest neighbours (Å) after each atom.
Atoms (fractional coordinates):
Ta (0.0000, 0.0000, 0.0000)  4 Au 2.87, 4 Ta 2.97, 4 Cd 3.04
Cd (0.5000, 0.5000, 0.7387)  4 Cd 2.97, 4 Au 3.00, 4 Ta 3.04
Au (0.0000, 0.0000, 0.4852)  8 Au 2.97-3.00, 4 Cd 3.00
Au (0.5000, 0.5000, 0.2314)  4 Ta 2.87, 8 Au 2.97-3.00

Computed properties:
Its crystal system is tetragonal.

---

First-principles (PBE) data for a relaxed CaEu3Ir crystal, as listed in Alexandria.

Cell lengths 5.7105, 5.7105, 5.7105 Å; angles 90.00, 90.00, 90.00 degrees
With the nearest neighbours (Å) after each atom.
Atoms (fractional coordinates):
Ca (0.0000, 0.0000, 0.0000)  12 Eu 4.04
Eu (0.0000, 0.5000, 0.5000)  2 Ir 2.86
Eu (0.5000, 0.0000, 0.5000)  2 Ir 2.86
Eu (0.5000, 0.5000, 0.0000)  2 Ir 2.86
Ir (0.5000, 0.5000, 0.5000)  6 Eu 2.86

Computed properties:
Its crystal system is cubic.

---

First-principles (PBE) data for a relaxed TaSbC3 crystal, as listed in Alexandria.

Cell lengths 4.2332, 4.2332, 4.2332 Å; angles 90.00, 90.00, 90.00 degrees
With the nearest neighbours (Å) after each atom.
Atoms (fractional coordinates):
Ta (0.0000, 0.0000, 0.0000)  6 C 2.12
Sb (0.5000, 0.5000, 0.5000)  12 C 2.99
C (0.0000, 0.0000, 0.5000)  2 Ta 2.12
C (0.0000, 0.5000, 0.0000)  2 Ta 2.12
C (0.5000, 0.0000, 0.0000)  2 Ta 2.12

Computed properties:
Its crystal system is cubic. The formation energy (no corrections) is 1.784 eV per atom.

---

First-principles (PBE) data for a relaxed V4GeN crystal, as listed in Alexandria.

Cell lengths 4.2297, 2.7792, 6.6911 Å; angles 90.00, 105.93, 90.00 degrees
With the nearest neighbours (Å) after each atom.
Atoms (fractional coordinates):
V (0.1026, 0.0000, 0.2104)  1 N 2.10
V (0.3223, 0.5000, 0.6049)  2 N 1.94
V (0.6777, 0.5000, 0.3951)  2 N 1.94
V (0.8974, 0.0000, 0.7896)  1 N 2.10
Ge (0.5000, 0.5000, 0.0000)  6 V 2.54-2.83, 2 Ge 2.78
N (0.0000, 0.0000, 0.5000)  6 V 1.94-2.10

Computed properties:
Its crystal system is monoclinic. The formation energy (no corrections) is -0.427 eV per atom.

---

First-principles (PBE) data for a relaxed Ac4PrY crystal, as listed in Alexandria.

Cell lengths 3.7409, 6.2209, 10.6945 Å; angles 90.00, 90.00, 90.00 degrees
With the nearest neighbours (Å) after each atom.
Atoms (fractional coordinates):
Ac (0.0000, 0.0000, 0.1664)  5 Ac 3.56-3.74
Ac (0.0000, 0.0000, 0.8336)  5 Ac 3.56-3.74
Ac (0.0000, 0.5000, 0.3311)  5 Ac 3.57-3.74
Ac (0.0000, 0.5000, 0.6689)  5 Ac 3.57-3.74
Pr (0.5000, 0.0000, 0.5000)  2 Pr 3.74, 12 Ac 4.03-4.05
Y (0.5000, 0.5000, 0.0000)  2 Y 3.74, 12 Ac 4.00-4.04

Computed properties:
Its crystal system is orthorhombic.

---

First-principles (PBE) data for a relaxed AgSb2TeI crystal, as listed in Alexandria.

Cell lengths 5.5411, 5.5411, 5.3243 Å; angles 90.00, 90.00, 90.00 degrees
With the nearest neighbours (Å) after each atom.
Atoms (fractional coordinates):
Ag (0.0000, 0.0000, 0.0000)  2 Te 2.66, 4 Sb 2.77
Sb (0.0000, 0.5000, 0.0000)  2 Ag 2.77
Sb (0.5000, 0.0000, 0.0000)  2 Ag 2.77
Te (0.0000, 0.0000, 0.5000)  2 Ag 2.66
I (0.5000, 0.5000, 0.5000)  8 Sb 3.84, 4 Te 3.92

Computed properties:
Its crystal system is tetragonal. The formation energy (no corrections) is 0.571 eV per atom.

---

First-principles (PBE) data for a relaxed VMoW4 crystal, as listed in Alexandria.

Cell lengths 3.1589, 5.2102, 6.2985 Å; angles 72.68, 89.89, 72.44 degrees
With the nearest neighbours (Å) after each atom.
Atoms (fractional coordinates):
V (0.0000, 0.0000, 0.0000)  8 W 2.71-2.72
Mo (0.0000, 0.0000, 0.5000)  8 W 2.73-2.74
W (0.3344, 0.3311, 0.1645)  2 V 2.71, 4 W 2.72-2.74, 2 Mo 2.73-2.74
W (0.3342, 0.3311, 0.6697)  2 V 2.71-2.72, 2 Mo 2.73, 4 W 2.74-2.77
W (0.6658, 0.6689, 0.3303)  2 V 2.71-2.72, 2 Mo 2.73, 4 W 2.74-2.77
W (0.6656, 0.6689, 0.8355)  2 V 2.71, 4 W 2.72-2.74, 2 Mo 2.73-2.74

Computed properties:
Its crystal system is triclinic.

---

First-principles (PBE) data for a relaxed BaLiGaPd2 crystal, as listed in Alexandria.

Cell lengths 6.4462, 6.4462, 6.4462 Å; angles 140.38, 140.38, 57.28 degrees
With the nearest neighbours (Å) after each atom.
Atoms (fractional coordinates):
Ba (0.0000, 0.0000, 0.0000)  8 Pd 3.40, 4 Li 3.57, 4 Ga 3.57
Li (0.7500, 0.2500, 0.5000)  4 Pd 2.60
Ga (0.2500, 0.7500, 0.5000)  4 Pd 2.60
Pd (0.3739, 0.3739, 0.0000)  2 Li 2.60, 2 Ga 2.60, 1 Pd 2.85
Pd (0.6261, 0.6261, 0.0000)  2 Li 2.60, 2 Ga 2.60, 1 Pd 2.85

Computed properties:
Its crystal system is tetragonal.

---

First-principles (PBE) data for a relaxed Cs2As2PdPb crystal, as listed in Alexandria.

Cell lengths 9.5408, 9.5408, 9.5408 Å; angles 135.92, 63.96, 136.11 degrees
With the nearest neighbours (Å) after each atom.
Atoms (fractional coordinates):
Cs (0.1735, 0.2410, 0.4145)  4 As 3.58-4.00, 2 Pd 3.75, 2 Pb 3.81
Cs (0.3265, 0.7410, 0.0674)  4 As 3.58-4.00, 2 Pd 3.75, 2 Pb 3.81
Cs (0.6735, 0.2590, 0.9326)  4 As 3.58-4.00, 2 Pd 3.75, 2 Pb 3.81
Cs (0.8265, 0.7590, 0.5855)  4 As 3.58-4.00, 2 Pd 3.75, 2 Pb 3.81
As (0.0728, 0.7965, 0.8693)  2 Pd 2.59
As (0.4272, 0.2965, 0.7237)  2 Pd 2.59
As (0.5728, 0.7035, 0.2763)  2 Pd 2.59
As (0.9272, 0.2035, 0.1307)  2 Pd 2.59
Pd (0.2500, 0.2500, 0.0000)  4 As 2.59
Pd (0.7500, 0.7500, 0.0000)  4 As 2.59
Pb (0.2500, 0.7500, 0.5000)  4 As 3.01
Pb (0.7500, 0.2500, 0.5000)  4 As 3.01

Computed properties:
Its crystal system is orthorhombic.

---

First-principles (PBE) data for a relaxed TbPrPu2N4 crystal, as listed in Alexandria.

Cell lengths 6.1089, 3.5214, 6.1258 Å; angles 90.00, 109.99, 90.00 degrees
With the nearest neighbours (Å) after each atom.
Atoms (fractional coordinates):
Tb (0.0000, 0.0000, 0.0000)  6 N 2.51-2.53
Pr (0.0000, 0.5000, 0.5000)  6 N 2.59-2.60
Pu (0.5000, 0.0000, 0.5000)  6 N 2.44-2.51
Pu (0.5000, 0.5000, 0.0000)  6 N 2.37-2.42
N (0.2669, 0.5000, 0.2506)  3 Pu 2.42-2.44, 2 Tb 2.53, 1 Pr 2.59
N (0.2734, 0.0000, 0.7734)  3 Pu 2.37-2.51, 1 Tb 2.51, 2 Pr 2.60
N (0.7266, 0.0000, 0.2266)  3 Pu 2.37-2.51, 1 Tb 2.51, 2 Pr 2.60
N (0.7331, 0.5000, 0.7494)  3 Pu 2.42-2.44, 2 Tb 2.53, 1 Pr 2.59

Computed properties:
Its crystal system is monoclinic. The formation energy (no corrections) is -1.322 eV per atom.

---

Computed E_tot (eV/atom) in order:
-10.66, -4.17, -4.80, -8.56, -6.95, -8.66, -4.48, -2.59, -12.03, -4.04, -3.60, -10.24